[1]
Entry from Alexandria via LeMat-Bulk: an optimized crystal structure of KNaRuO3 (PBE-GGA).

a b c (Å): 6.9804 6.9804 7.1081
angles (deg): 104.17 104.17 32.34
Fractional coordinates of all 12 atoms:
K 0.1487 0.1487 0.0746
K 0.8513 0.8513 0.9254
Na 0.1708 0.1708 0.5799
Na 0.8292 0.8292 0.4201
Ru 0.5003 0.5003 0.3341
Ru 0.4997 0.4997 0.6659
O 0.0004 0.0004 0.3103
O 0.9996 0.9996 0.6897
O 0.3561 0.3561 0.6496
O 0.3575 0.3575 0.2104
O 0.6425 0.6425 0.7896
O 0.6439 0.6439 0.3504

Properties
space-group type	C2/m, No. 12
mass density	3.91	g/cm3
formation energy (no corrections)	-1.23	eV/atom
electronic total energy	-67.9	eV/cell
spin magnetization	0.96	μB per cell



[2]
Entry from Alexandria via LeMat-Bulk: an optimized crystal structure of KNaRuO4 (PBE-GGA).

a b c (Å): 6.0770 6.1558 7.1944
angles (deg): 90.00 106.97 90.00
Fractional coordinates of all 14 atoms:
K 0.2283 0.2500 0.4443
K 0.7717 0.7500 0.5557
Na 0.3172 0.2500 0.9683
Na 0.6828 0.7500 0.0317
Ru 0.2287 0.7500 0.1677
Ru 0.7713 0.2500 0.8323
O 0.0523 0.7500 0.3284
O 0.0522 0.7500 0.9220
O 0.4302 0.5251 0.2128
O 0.4302 0.9749 0.2128
O 0.5698 0.0251 0.7872
O 0.5698 0.4749 0.7872
O 0.9478 0.2500 0.0780
O 0.9477 0.2500 0.6716

Properties
space-group type	P2_1/m, No. 11
mass density	2.93	g/cm3
formation energy (no corrections)	-1.26	eV/atom
electronic total energy	-80.7	eV/cell
spin magnetization	4.00	μB per cell



[3]
Entry from Alexandria via LeMat-Bulk: an optimized crystal structure of KNa2RuO4 (PBE-GGA).

a b c (Å): 6.8200 6.8200 6.8200
angles (deg): 120.42 104.61 103.97
Fractional coordinates of all 16 atoms:
K 0.0000 0.0000 0.0000
K 0.5000 0.0000 0.5000
Na 0.0000 0.5000 0.5000
Na 0.5000 0.0000 0.0000
Na 0.5000 0.5000 0.0000
Na 0.5000 0.5000 0.5000
Ru 0.0000 0.0000 0.5000
Ru 0.0000 0.5000 0.0000
O 0.2232 0.2431 0.5200
O 0.2232 0.7032 0.9800
O 0.2249 0.0000 0.7249
O 0.2249 0.5000 0.2249
O 0.7751 0.0000 0.2751
O 0.7751 0.5000 0.7751
O 0.7768 0.2968 0.0200
O 0.7768 0.7569 0.4800

Properties
space-group type	Imma, No. 74
mass density	3.50	g/cm3
formation energy (no corrections)	-1.16	eV/atom
electronic total energy	-84.2	eV/cell
spin magnetization	3.54	μB per cell



[4]
Entry from Alexandria via LeMat-Bulk: an optimized crystal structure of K3NaRu2O8 (PBE-GGA).

a b c (Å): 6.0745 6.0745 7.7909
angles (deg): 90.00 90.00 120.00
Fractional coordinates of all 14 atoms:
K 0.0000 0.0000 0.0000
K 0.3333 0.6667 0.6530
K 0.6667 0.3333 0.3470
Na 0.0000 0.0000 0.5000
Ru 0.3333 0.6667 0.2125
Ru 0.6667 0.3333 0.7875
O 0.1755 0.3511 0.3040
O 0.1755 0.8245 0.3040
O 0.3333 0.6667 0.9853
O 0.3511 0.1755 0.6960
O 0.6489 0.8245 0.3040
O 0.6667 0.3333 0.0147
O 0.8245 0.1755 0.6960
O 0.8245 0.6489 0.6960

Properties
space-group type	P-3m1, No. 164
mass density	3.14	g/cm3
formation energy (no corrections)	-1.31	eV/atom
electronic total energy	-81.1	eV/cell
spin magnetization	4.00	μB per cell
ΔE to the lowest computed polymorph	6	meV per atom



[5]
Entry from Alexandria via LeMat-Bulk: an optimized crystal structure of KNaSO4 (PBE-GGA).

a b c (Å): 5.6796 5.6796 7.3140
angles (deg): 90.00 90.00 120.00
Fractional coordinates of all 14 atoms:
K 0.0000 0.0000 0.0000
K 0.3333 0.6667 0.3271
Na 0.0000 0.0000 0.4990
Na 0.6667 0.3333 0.7096
S 0.3333 0.6667 0.7694
S 0.6667 0.3333 0.2279
O 0.1903 0.3806 0.6973
O 0.1903 0.8097 0.6973
O 0.3333 0.6667 0.9704
O 0.3810 0.1905 0.2987
O 0.6194 0.8097 0.6973
O 0.6667 0.3333 0.0254
O 0.8095 0.1905 0.2987
O 0.8095 0.6190 0.2987

Properties
space-group type	P3m1, No. 156
mass density	2.57	g/cm3
formation energy (no corrections)	-1.83	eV/atom
electronic total energy	-78.4	eV/cell
spin magnetization	0.00	μB per cell
ΔE to the lowest computed polymorph	0	meV per atom



[6]
Entry from Alexandria via LeMat-Bulk: an optimized crystal structure of KNaSO4 (PBE-GGA).

a b c (Å): 5.8531 5.8531 7.0740
angles (deg): 90.00 90.00 114.19
Fractional coordinates of all 14 atoms:
K 0.0000 0.0000 0.0000
K 0.0000 0.0000 0.5000
Na 0.3364 0.6636 0.7500
Na 0.6636 0.3364 0.2500
S 0.3584 0.6416 0.2500
S 0.6416 0.3584 0.7500
O 0.2579 0.3608 0.2500
O 0.2716 0.7284 0.0774
O 0.2716 0.7284 0.4226
O 0.3608 0.2579 0.7500
O 0.6392 0.7421 0.2500
O 0.7284 0.2716 0.5774
O 0.7284 0.2716 0.9226
O 0.7421 0.6392 0.7500

Properties
space-group type	Cmcm, No. 63
mass density	2.38	g/cm3
formation energy (no corrections)	-1.81	eV/atom
electronic total energy	-78.1	eV/cell
spin magnetization	0.09	μB per cell
ΔE to the lowest computed polymorph	23	meV per atom



[7]
Entry from Alexandria via LeMat-Bulk: an optimized crystal structure of KNaSO4 (PBE-GGA).

a b c (Å): 5.6889 5.6889 7.2970
angles (deg): 90.00 90.00 120.00
Fractional coordinates of all 14 atoms:
K 0.3333 0.6667 0.1703
K 0.6667 0.3333 0.8297
Na 0.0000 0.0000 0.0000
Na 0.0000 0.0000 0.5000
S 0.3333 0.6667 0.7212
S 0.6667 0.3333 0.2788
O 0.1902 0.3805 0.7933
O 0.1902 0.8098 0.7933
O 0.3333 0.6667 0.5202
O 0.3805 0.1902 0.2067
O 0.6195 0.8098 0.7933
O 0.6667 0.3333 0.4798
O 0.8098 0.1902 0.2067
O 0.8098 0.6195 0.2067

Properties
space-group type	P-3m1, No. 164
mass density	2.57	g/cm3
formation energy (no corrections)	-1.81	eV/atom
electronic total energy	-78.1	eV/cell
spin magnetization	0.00	μB per cell
ΔE to the lowest computed polymorph	19	meV per atom



[8]
Entry from Alexandria via LeMat-Bulk: an optimized crystal structure of KNa3S4O12 (PBE-GGA).

a b c (Å): 7.1682 7.1682 7.1682
angles (deg): 104.10 104.10 104.10
Fractional coordinates of all 20 atoms:
K 0.0000 0.0000 0.0000
Na 0.0000 0.5488 0.4512
Na 0.4512 0.0000 0.5488
Na 0.5488 0.4512 0.0000
S 0.0490 0.5000 0.9510
S 0.5000 0.5000 0.5000
S 0.5000 0.9510 0.0490
S 0.9510 0.0490 0.5000
O 0.0397 0.6221 0.8083
O 0.0842 0.9158 0.5000
O 0.1917 0.3779 0.9603
O 0.3669 0.6331 0.5000
O 0.3779 0.9603 0.1917
O 0.5000 0.0842 0.9158
O 0.5000 0.3669 0.6331
O 0.6221 0.8083 0.0397
O 0.6331 0.5000 0.3669
O 0.8083 0.0397 0.6221
O 0.9158 0.5000 0.0842
O 0.9603 0.1917 0.3779

Properties
space-group type	R32, No. 155
mass density	2.17	g/cm3
formation energy (no corrections)	-1.14	eV/atom
electronic total energy	-104.0	eV/cell
spin magnetization	3.53	μB per cell



[9]
Entry from Alexandria via LeMat-Bulk: an optimized crystal structure of K2NaSb3O9 (PBE-GGA).

a b c (Å): 9.6282 9.6284 9.6284
angles (deg): 90.00 90.00 90.00
Fractional coordinates of all 60 atoms:
K 0.1488 0.1488 0.0000
K 0.1493 0.8507 0.2981
K 0.3507 0.3507 0.7981
K 0.3512 0.6488 0.5000
K 0.6488 0.3512 0.5000
K 0.6493 0.6493 0.7981
K 0.8507 0.1493 0.2981
K 0.8512 0.8512 0.0000
Na 0.2499 0.2499 0.3988
Na 0.2501 0.7499 0.8988
Na 0.7499 0.2501 0.8988
Na 0.7501 0.7501 0.3988
Sb 0.0000 0.3411 0.6489
Sb 0.0000 0.5000 0.3077
Sb 0.0000 0.5000 0.9900
Sb 0.0000 0.6589 0.6489
Sb 0.1589 0.0000 0.6488
Sb 0.3411 0.5000 0.1488
Sb 0.5000 0.0000 0.4900
Sb 0.5000 0.0000 0.8077
Sb 0.5000 0.1589 0.1489
Sb 0.5000 0.8411 0.1489
Sb 0.6589 0.5000 0.1488
Sb 0.8411 0.0000 0.6488
O 0.0000 0.0000 0.5099
O 0.0000 0.0000 0.7878
O 0.0000 0.3611 0.1489
O 0.0000 0.6389 0.1489
O 0.0027 0.3378 0.4371
O 0.0026 0.6622 0.8607
O 0.1389 0.5000 0.6489
O 0.1622 0.2118 0.6461
O 0.1623 0.7882 0.6515
O 0.2118 0.4974 0.3111
O 0.2118 0.5027 0.9866
O 0.2882 0.0027 0.4866
O 0.2882 0.9974 0.8111
O 0.3377 0.2882 0.1515
O 0.3378 0.7118 0.1461
O 0.3611 0.0000 0.1489
O 0.4974 0.1622 0.3607
O 0.4973 0.8378 0.9371
O 0.5000 0.1389 0.6489
O 0.5000 0.5000 0.0099
O 0.5000 0.5000 0.2878
O 0.5000 0.8611 0.6489
O 0.5027 0.1622 0.9371
O 0.5026 0.8378 0.3607
O 0.6389 0.0000 0.1489
O 0.6622 0.2882 0.1461
O 0.6623 0.7118 0.1515
O 0.7118 0.0026 0.8111
O 0.7118 0.9973 0.4866
O 0.7882 0.4973 0.9866
O 0.7882 0.5026 0.3111
O 0.8377 0.2118 0.6515
O 0.8378 0.7882 0.6461
O 0.8611 0.5000 0.6489
O 0.9974 0.3378 0.8607
O 0.9973 0.6622 0.4371

Properties
space-group type	Pnn2, No. 34
mass density	4.54	g/cm3
formation energy (no corrections)	-1.62	eV/atom
electronic total energy	-339.5	eV/cell
spin magnetization	0.00	μB per cell



[10]
Entry from Alexandria via LeMat-Bulk: an optimized crystal structure of K3NaSb2O6 (PBE-GGA).

a b c (Å): 6.3673 6.3673 7.1517
angles (deg): 90.00 90.00 120.00
Fractional coordinates of all 12 atoms:
K 0.0000 0.0000 0.0000
K 0.3333 0.6667 0.6446
K 0.6667 0.3333 0.3554
Na 0.0000 0.0000 0.5000
Sb 0.3333 0.6667 0.1806
Sb 0.6667 0.3333 0.8194
O 0.1733 0.3466 0.2842
O 0.1733 0.8267 0.2842
O 0.3466 0.1733 0.7158
O 0.6534 0.8267 0.2842
O 0.8267 0.1733 0.7158
O 0.8267 0.6534 0.7158

Properties
space-group type	P-3m1, No. 164
mass density	3.17	g/cm3
formation energy (no corrections)	-1.34	eV/atom
electronic total energy	-58.7	eV/cell
spin magnetization	1.89	μB per cell



[11]
Entry from Alexandria via LeMat-Bulk: an optimized crystal structure of KNaSb4O12 (PBE-GGA).

a b c (Å): 5.5966 5.5966 7.9119
angles (deg): 90.00 90.00 90.00
Fractional coordinates of all 18 atoms:
K 0.0000 0.0000 0.0000
Na 0.5000 0.5000 0.5000
Sb 0.0000 0.5000 0.2506
Sb 0.0000 0.5000 0.7494
Sb 0.5000 0.0000 0.2506
Sb 0.5000 0.0000 0.7494
O 0.0000 0.5000 0.0000
O 0.0000 0.5000 0.5000
O 0.2532 0.2532 0.2571
O 0.2532 0.2532 0.7429
O 0.2532 0.7468 0.2571
O 0.2532 0.7468 0.7429
O 0.5000 0.0000 0.0000
O 0.5000 0.0000 0.5000
O 0.7468 0.2532 0.2571
O 0.7468 0.2532 0.7429
O 0.7468 0.7468 0.2571
O 0.7468 0.7468 0.7429

Properties
space-group type	P4/mmm, No. 123
mass density	4.97	g/cm3
formation energy (no corrections)	-1.17	eV/atom
electronic total energy	-99.4	eV/cell
spin magnetization	1.56	μB per cell



[12]
Entry from Alexandria via LeMat-Bulk: an optimized crystal structure of K2NaSe2O6 (PBE-GGA).

a b c (Å): 8.1791 8.1791 8.1791
angles (deg): 43.69 43.69 43.69
Fractional coordinates of all 11 atoms:
K 0.2239 0.2239 0.2239
K 0.7761 0.7761 0.7761
Na 0.5000 0.5000 0.5000
Se 0.0736 0.0736 0.0736
Se 0.9264 0.9264 0.9264
O 0.1953 0.7480 0.7480
O 0.2520 0.2520 0.8047
O 0.2520 0.8047 0.2520
O 0.7480 0.1953 0.7480
O 0.7480 0.7480 0.1953
O 0.8047 0.2520 0.2520

Properties
space-group type	R-3m, No. 166
mass density	2.49	g/cm3
formation energy (no corrections)	-1.24	eV/atom
electronic total energy	-53.9	eV/cell
spin magnetization	0.68	μB per cell



[13]
Entry from Alexandria via LeMat-Bulk: an optimized crystal structure of K3NaSe2O8 (PBE-GGA).

a b c (Å): 5.9772 5.9772 7.6646
angles (deg): 90.00 90.00 120.00
Fractional coordinates of all 14 atoms:
K 0.0000 0.0000 0.0000
K 0.3333 0.6667 0.3302
K 0.6667 0.3333 0.6698
Na 0.0000 0.0000 0.5000
Se 0.3333 0.6667 0.7747
Se 0.6667 0.3333 0.2253
O 0.1815 0.3630 0.6964
O 0.1815 0.8185 0.6964
O 0.3333 0.6667 0.9907
O 0.3630 0.1815 0.3036
O 0.6370 0.8185 0.6964
O 0.6667 0.3333 0.0093
O 0.8185 0.1815 0.3036
O 0.8185 0.6370 0.3036

Properties
space-group type	P-3m1, No. 164
mass density	2.98	g/cm3
formation energy (no corrections)	-1.40	eV/atom
electronic total energy	-70.8	eV/cell
spin magnetization	0.00	μB per cell
ΔE to the lowest computed polymorph	3	meV per atom



[14]
Entry from Alexandria via LeMat-Bulk: an optimized crystal structure of K5NaSeO2 (PBE-GGA).

a b c (Å): 5.2447 5.2447 10.0156
angles (deg): 90.00 90.00 90.00
Fractional coordinates of all 9 atoms:
K 0.0000 0.0000 0.0000
K 0.0000 0.5000 0.2272
K 0.0000 0.5000 0.7728
K 0.5000 0.0000 0.2272
K 0.5000 0.0000 0.7728
Na 0.0000 0.0000 0.5000
Se 0.5000 0.5000 0.0000
O 0.0000 0.0000 0.2809
O 0.0000 0.0000 0.7191

Properties
space-group type	P4/mmm, No. 123
mass density	1.99	g/cm3
formation energy (no corrections)	-1.06	eV/atom
electronic total energy	-29.8	eV/cell
spin magnetization	0.10	μB per cell



[15]
Entry from Alexandria via LeMat-Bulk: an optimized crystal structure of KNaSeO4 (PBE-GGA).

a b c (Å): 5.9491 5.9491 5.9491
angles (deg): 119.59 119.59 90.71
Fractional coordinates of all 7 atoms:
K 0.0000 0.0000 0.0000
Na 0.5000 0.5000 0.0000
Se 0.2500 0.7500 0.5000
O 0.2323 0.6743 0.1790
O 0.3257 0.5048 0.5580
O 0.4952 0.0533 0.8210
O 0.9467 0.7677 0.4420

Properties
space-group type	I-4, No. 82
mass density	2.27	g/cm3
formation energy (no corrections)	-1.36	eV/atom
electronic total energy	-35.3	eV/cell
spin magnetization	0.18	μB per cell



[16]
Entry from Alexandria via LeMat-Bulk: an optimized crystal structure of K2NaSeO (PBE-GGA).

a b c (Å): 5.3195 5.3195 4.5591
angles (deg): 90.00 90.00 90.00
Fractional coordinates of all 5 atoms:
K 0.0000 0.5000 0.0000
K 0.5000 0.0000 0.0000
Na 0.0000 0.0000 0.5000
Se 0.5000 0.5000 0.5000
O 0.0000 0.0000 0.0000

Properties
space-group type	P4/mmm, No. 123
mass density	2.52	g/cm3
formation energy (no corrections)	-0.95	eV/atom
electronic total energy	-16.7	eV/cell
spin magnetization	1.03	μB per cell



[17]
Entry from Alexandria via LeMat-Bulk: an optimized crystal structure of K2NaSeO4 (PBE-GGA).

a b c (Å): 5.8404 5.8404 5.8404
angles (deg): 116.09 116.09 96.92
Fractional coordinates of all 8 atoms:
K 0.0000 0.0000 0.0000
K 0.7500 0.2500 0.5000
Na 0.2500 0.7500 0.5000
Se 0.5000 0.5000 0.0000
O 0.2241 0.1779 0.6547
O 0.4306 0.7759 0.9538
O 0.5232 0.5694 0.3453
O 0.8221 0.4768 0.0462

Properties
space-group type	I-4, No. 82
mass density	2.74	g/cm3
formation energy (no corrections)	-1.25	eV/atom
electronic total energy	-36.9	eV/cell
spin magnetization	0.84	μB per cell